Entry 1:
Density functional theory data (PBE-GGA) for a relaxed K2RbTlPb crystal.

The density of states at the Fermi level comes out at 3.3 states/eV/f.u. Its total energy is -1.84 eV/atom.

Unit cell a=6.9745 b=6.9745 c=6.0321 alpha=90.00 beta=90.00 gamma=90.00
Closest atoms and distances in Å follow each position.
Space group P4/mmm (No. 123)
Unique sites:
K 0.0000 0.5000 0.0000 [2 per cell]  2 Pb 3.49
Rb 0.0000 0.0000 0.5000 [1 per cell]  8 K 4.61, 4 Tl 4.93
Tl 0.5000 0.5000 0.5000 [1 per cell]  2 Pb 3.02
Pb 0.5000 0.5000 0.0000 [1 per cell]  2 Tl 3.02

=====

Entry 2:
Density functional theory data (PBE-GGA) for a relaxed TaSbRu2 crystal.

The density of states at the Fermi level comes out at 4.1 states/eV/f.u. Its total energy is -8.49 eV/atom.

Unit cell a=2.9661 b=4.3418 c=5.2666 alpha=90.00 beta=95.34 gamma=90.00
Closest atoms and distances in Å follow each position.
Space group P2/m (No. 10)
Unique sites:
Ta 0.0000 0.0000 0.0000 [1 per cell]  4 Ru 2.69, 2 Sb 2.90, 2 Ta 2.97
Sb 0.5000 0.0000 0.5000 [1 per cell]  4 Ru 2.67, 2 Ta 2.90, 2 Sb 2.97
Ru 0.2717 0.5000 0.7556 [2 per cell]  2 Sb 2.67, 2 Ta 2.69, 3 Ru 2.79-2.97

=====

Entry 3:
Density functional theory data (PBE-GGA) for a relaxed TaMnS2 crystal.

The density of states at the Fermi level comes out at 2.6 states/eV/f.u. Its total energy is -7.63 eV/atom.

Unit cell a=5.4799 b=5.4799 c=10.6465 alpha=90.00 beta=90.00 gamma=90.00
Closest atoms and distances in Å follow each position.
Space group I-42d (No. 122)
Unique sites:
Ta 0.0000 0.0000 0.0000 [4 per cell]  4 S 2.39
Mn 0.0000 0.0000 0.5000 [4 per cell]  4 S 2.31
S 0.2381 0.2500 0.6250 [8 per cell]  2 Mn 2.31, 2 Ta 2.39

=====

Entry 4:
Density functional theory data (PBE-GGA) for a relaxed CuTe2P crystal.

The density of states at the Fermi level comes out at 0.9 states/eV/f.u. Its total energy is -3.88 eV/atom.

Unit cell a=3.2179 b=3.2179 c=9.3311 alpha=90.00 beta=90.00 gamma=90.00
Closest atoms and distances in Å follow each position.
Space group P4mm (No. 99)
Unique sites:
Cu 0.0000 0.0000 0.0000 [1 per cell]  4 P 2.38, 1 Te 2.63
Te 0.0000 0.0000 0.2818 [1 per cell]  1 Cu 2.63
Te 0.5000 0.5000 0.6555 [1 per cell]  1 P 2.51
P 0.5000 0.5000 0.9247 [1 per cell]  4 Cu 2.38, 1 Te 2.51

=====

Entry 5:
Density functional theory data (PBE-GGA) for a relaxed La3SnO crystal.

The density of states at the Fermi level comes out at 5.7 states/eV/f.u. Its total energy is -5.96 eV/atom.

Unit cell a=7.5180 b=7.5180 c=22.5195 alpha=90.00 beta=90.00 gamma=120.00
Closest atoms and distances in Å follow each position.
Space group R-3c (No. 167, hexagonal axes)
Unique sites:
La 0.0000 0.3000 0.2500 [18 per cell]  1 O 2.26
Sn 0.0000 0.0000 0.0000 [6 per cell]  6 La 3.24
O 0.0000 0.0000 0.2500 [6 per cell]  3 La 2.26

=====

Entry 6:
Density functional theory data (PBE-GGA) for a relaxed TlFeN2 crystal.

The density of states at the Fermi level comes out at 3.2 states/eV/f.u. Its total energy is -6.17 eV/atom.

Unit cell a=2.9626 b=2.9626 c=19.7968 alpha=90.00 beta=90.00 gamma=120.00
Closest atoms and distances in Å follow each position.
Space group R-3m (No. 166, hexagonal axes)
Unique sites:
Tl 0.0000 0.0000 0.0000 [3 per cell]  2 N 2.36
Fe 0.0000 0.0000 0.5000 [3 per cell]  6 N 1.95
N 0.0000 0.0000 0.1192 [6 per cell]  3 Fe 1.95

=====

Entry 7:
Density functional theory data (PBE-GGA) for a relaxed NdDy2Ag6 crystal.

The density of states at the Fermi level comes out at 5.8 states/eV/f.u. Its total energy is -3.67 eV/atom.

Unit cell a=9.3306 b=16.3033 c=5.3458 alpha=90.00 beta=90.05 gamma=90.00
Closest atoms and distances in Å follow each position.
Space group C2/c (No. 15)
Unique sites:
Nd 0.0000 0.2498 0.2500 [4 per cell]  10 Ag 3.07-3.17
Dy 0.2502 0.0843 0.0000 [8 per cell]  10 Ag 3.07-3.12
Ag 0.0831 0.0811 0.5051 [8 per cell]  5 Ag 3.05-3.14, 4 Dy 3.07-3.12, 1 Nd 3.17
Ag 0.0832 0.4185 0.5049 [8 per cell]  5 Ag 3.05-3.14, 4 Dy 3.07-3.12, 1 Nd 3.17
Ag 0.1625 0.2499 0.7517 [8 per cell]  5 Ag 3.03-3.15, 3 Nd 3.07-3.15, 2 Dy 3.12

=====

Entry 8:
Density functional theory data (PBE-GGA) for a relaxed NdSn2Pt crystal.

The density of states at the Fermi level comes out at 1.5 states/eV/f.u. Its total energy is -5.47 eV/atom.

Unit cell a=7.5149 b=4.6296 c=11.4301 alpha=90.00 beta=90.00 gamma=90.00
Closest atoms and distances in Å follow each position.
Space group Pnma (No. 62)
Unique sites:
Nd 0.2078 0.2500 0.1507 [4 per cell]  4 Pt 3.24-3.57, 9 Sn 3.34-3.62
Sn 0.1154 0.2500 0.8647 [4 per cell]  2 Pt 2.62-2.83
Sn 0.1536 0.2500 0.4414 [4 per cell]  3 Pt 2.68-2.76
Pt 0.0091 0.7500 0.3497 [4 per cell]  5 Sn 2.62-2.83

=====

Entry 9:
Density functional theory data (PBE-GGA) for a relaxed Th2HgBr7 crystal.

The density of states at the Fermi level comes out at 7.5 states/eV/f.u. Its total energy is -4.10 eV/atom.

Unit cell a=9.1256 b=15.0345 c=5.8092 alpha=90.00 beta=90.00 gamma=90.00
Closest atoms and distances in Å follow each position.
Space group Cmmm (No. 65)
Unique sites:
Th 0.0000 0.1972 0.0000 [4 per cell]  7 Br 2.91-2.98
Hg 0.0000 0.5000 0.5000 [2 per cell]  8 Br 3.99
Br 0.0000 0.0000 0.0000 [2 per cell]  2 Th 2.97
Br 0.0000 0.1932 0.5000 [4 per cell]  2 Th 2.91
Br 0.1883 0.3590 0.0000 [8 per cell]  2 Th 2.97-2.98

=====

Entry 10:
Density functional theory data (PBE-GGA) for a relaxed NpGePdO6 crystal.

The density of states at the Fermi level comes out at 4.2 states/eV/f.u. Its total energy is -7.44 eV/atom.

Unit cell a=5.2882 b=5.2882 c=9.3047 alpha=90.00 beta=90.00 gamma=120.00
Closest atoms and distances in Å follow each position.
Space group P-31c (No. 163)
Unique sites:
Np 0.3333 0.6667 0.2500 [2 per cell]  6 O 2.09
Ge 0.3333 0.6667 0.7500 [2 per cell]  6 O 1.94
Pd 0.0000 0.0000 0.0000 [2 per cell]  6 O 2.27
O 0.0216 0.3661 0.6357 [12 per cell]  1 Ge 1.94, 1 Np 2.09

=====

Entry 11:
Density functional theory data (PBE-GGA) for a relaxed DyBe12Ni6 crystal.

The density of states at the Fermi level comes out at 8.4 states/eV/f.u. Its total energy is -4.53 eV/atom.

Unit cell a=9.4369 b=9.4369 c=7.7746 alpha=90.00 beta=90.00 gamma=120.00
Closest atoms and distances in Å follow each position.
Space group R-3m (No. 166, hexagonal axes)
Unique sites:
Dy 0.0000 0.0000 0.0000 [3 per cell]  18 Be 2.93-3.20, 6 Ni 3.20
Be 0.0000 0.3878 0.5000 [18 per cell]  3 Be 2.12-2.27, 4 Ni 2.14-2.21
Be 0.0981 0.1962 0.3149 [18 per cell]  4 Ni 2.17-2.41, 3 Be 2.26-2.27
Ni 0.0513 0.5256 0.2571 [18 per cell]  7 Be 2.14-2.25

=====

Entry 12:
Density functional theory data (PBE-GGA) for a relaxed RbMg14Mn crystal.

The density of states at the Fermi level comes out at 7.3 states/eV/f.u. Its total energy is -1.83 eV/atom.

Unit cell a=10.5999 b=6.4279 c=11.4421 alpha=90.00 beta=90.00 gamma=90.00
Closest atoms and distances in Å follow each position.
Space group Amm2 (No. 38)
Unique sites:
Rb 0.0000 0.0000 0.0000 [2 per cell]  10 Mg 3.23-3.42, 2 Mn 3.24
Mg 0.0000 0.2490 0.7450 [4 per cell]  1 Mn 2.97, 6 Mg 3.16-3.23, 1 Rb 3.23
Mg 0.2300 0.0000 0.6330 [4 per cell]  1 Mn 3.12, 11 Mg 3.19-3.42
Mg 0.2549 0.2429 0.3878 [8 per cell]  10 Mg 3.12-3.39, 1 Mn 3.24, 1 Rb 3.42
Mg 0.2701 0.0000 0.1465 [4 per cell]  9 Mg 3.08-3.39, 1 Rb 3.32
Mg 0.5000 0.0000 0.4747 [2 per cell]  12 Mg 3.19-3.39
Mg 0.5000 0.0000 0.9732 [2 per cell]  12 Mg 3.14-3.32
Mg 0.5000 0.2422 0.7251 [4 per cell]  12 Mg 3.08-3.42
Mn 0.0000 0.0000 0.4626 [2 per cell]  8 Mg 2.97-3.24, 2 Rb 3.24

=====

Entry 13:
Density functional theory data (PBE-GGA) for a relaxed ZnCl3 crystal.

The density of states at the Fermi level comes out at 1.1 states/eV/f.u. Its total energy is -1.81 eV/atom.

Unit cell a=4.0263 b=4.0263 c=26.1950 alpha=90.00 beta=90.00 gamma=90.00
Closest atoms and distances in Å follow each position.
Space group I4/mmm (No. 139)
Unique sites:
Zn 0.0000 0.0000 0.1927 [4 per cell]  4 Cl 2.51
Cl 0.0000 0.0000 0.3523 [4 per cell]  4 Zn 3.08, 4 Cl 3.35
Cl 0.0000 0.5000 0.0000 [4 per cell]  4 Cl 2.85
Cl 0.0000 0.5000 0.2500 [4 per cell]  4 Zn 2.51

=====

Entry 14:
Density functional theory data (PBE-GGA) for a relaxed RbCuIrRu2 crystal.

The density of states at the Fermi level comes out at 6.3 states/eV/f.u. Its total energy is -4.76 eV/atom.

Unit cell a=4.7170 b=4.7170 c=6.1066 alpha=90.00 beta=90.00 gamma=90.00
Closest atoms and distances in Å follow each position.
Space group P4/mmm (No. 123)
Unique sites:
Rb 0.0000 0.0000 0.0000 [1 per cell]  2 Ir 3.05, 4 Cu 3.34
Cu 0.5000 0.5000 0.0000 [1 per cell]  4 Rb 3.34
Ir 0.0000 0.0000 0.5000 [1 per cell]  4 Ru 2.36
Ru 0.0000 0.5000 0.5000 [2 per cell]  2 Ir 2.36

=====

Entry 15:
Density functional theory data (PBE-GGA) for a relaxed Al3HgPd crystal.

The density of states at the Fermi level comes out at 1.4 states/eV/f.u. Its total energy is -3.43 eV/atom.

Unit cell a=4.7926 b=4.7926 c=4.7926 alpha=90.00 beta=90.00 gamma=90.00
Closest atoms and distances in Å follow each position.
Space group Pm-3m (No. 221)
Unique sites:
Al 0.0000 0.0000 0.5000 [3 per cell]  2 Pd 2.40
Hg 0.5000 0.5000 0.5000 [1 per cell]  12 Al 3.39
Pd 0.0000 0.0000 0.0000 [1 per cell]  6 Al 2.40

=====

Entry 16:
Density functional theory data (PBE-GGA) for a relaxed PmPaRu2 crystal.

The density of states at the Fermi level comes out at 2.8 states/eV/f.u. Its total energy is -8.59 eV/atom.

Unit cell a=5.9845 b=5.6467 c=11.0458 alpha=90.00 beta=105.30 gamma=90.00
Closest atoms and distances in Å follow each position.
Space group P2/c (No. 13)
Unique sites:
Pm 0.1906 0.1827 0.1436 [4 per cell]  3 Ru 2.84-3.09
Pa 0.3675 0.3243 0.8703 [4 per cell]  2 Ru 2.39-2.42
Ru 0.1366 0.3195 0.6543 [4 per cell]  1 Pa 2.42
Ru 0.3443 0.1950 0.4473 [4 per cell]  1 Pa 2.39

=====

Entry 17:
Density functional theory data (PBE-GGA) for a relaxed SrZnSn3 crystal.

The density of states at the Fermi level comes out at 3.3 states/eV/f.u. Its total energy is -3.04 eV/atom.

Unit cell a=5.3535 b=5.3535 c=5.3535 alpha=90.00 beta=90.00 gamma=90.00
Closest atoms and distances in Å follow each position.
Space group Pm-3m (No. 221)
Unique sites:
Sr 0.0000 0.0000 0.0000 [1 per cell]  12 Sn 3.79
Zn 0.5000 0.5000 0.5000 [1 per cell]  6 Sn 2.68
Sn 0.0000 0.5000 0.5000 [3 per cell]  2 Zn 2.68

=====

Entry 18:
Density functional theory data (PBE-GGA) for a relaxed ZnCrHg2 crystal.

The density of states at the Fermi level comes out at 2.4 states/eV/f.u. Its total energy is -2.57 eV/atom.

Unit cell a=4.3582 b=4.3582 c=3.9819 alpha=90.00 beta=90.00 gamma=90.00
Closest atoms and distances in Å follow each position.
Space group P4/mmm (No. 123)
Unique sites:
Zn 0.0000 0.0000 0.0000 [1 per cell]  8 Hg 2.95, 4 Cr 3.08
Cr 0.5000 0.5000 0.0000 [1 per cell]  8 Hg 2.95, 4 Zn 3.08
Hg 0.0000 0.5000 0.5000 [2 per cell]  4 Cr 2.95, 4 Zn 2.95, 4 Hg 3.08

=====

Entry 19:
Density functional theory data (PBE-GGA) for a relaxed PmDy6Ho8 crystal.

The density of states at the Fermi level comes out at 22.2 states/eV/f.u. Its total energy is -4.47 eV/atom.

Unit cell a=8.9988 b=8.9988 c=20.4942 alpha=90.00 beta=90.00 gamma=120.00
Closest atoms and distances in Å follow each position.
Space group R-3 (No. 148, hexagonal axes)
Unique sites:
Pm 0.0000 0.0000 0.0000 [3 per cell]  6 Dy 3.43, 6 Ho 3.51
Dy 0.0625 0.8163 0.7077 [18 per cell]  4 Ho 3.35-3.73, 1 Pm 3.43, 4 Dy 3.45-3.72
Ho 0.0000 0.0000 0.4235 [6 per cell]  4 Ho 3.13-3.40, 3 Dy 3.35
Ho 0.0809 0.5290 0.8084 [18 per cell]  3 Dy 3.38-3.73, 5 Ho 3.39-3.41, 1 Pm 3.51

=====

Entry 20:
Density functional theory data (PBE-GGA) for a relaxed RbSrTeS2 crystal.

The density of states at the Fermi level comes out at 2.9 states/eV/f.u. Its total energy is -3.88 eV/atom.

Unit cell a=7.8751 b=5.8410 c=7.7161 alpha=90.00 beta=103.39 gamma=90.00
Closest atoms and distances in Å follow each position.
Space group P2/c (No. 13)
Unique sites:
Rb 0.0000 0.1940 0.2500 [2 per cell]  6 S 3.46-3.66
Sr 0.5000 0.4916 0.7500 [2 per cell]  4 S 2.94
Te 0.5000 0.0000 0.0000 [2 per cell]  2 S 2.66
S 0.2476 0.3117 0.9440 [4 per cell]  1 Te 2.66, 2 Sr 2.94

=====

Entry 21:
Density functional theory data (PBE-GGA) for a relaxed LaScSeS2 crystal.

Its total energy is -6.48 eV/atom.

Unit cell a=6.7824 b=6.7824 c=10.3222 alpha=90.00 beta=90.00 gamma=90.00
Closest atoms and distances in Å follow each position.
Space group I4/mcm (No. 140)
Unique sites:
La 0.0000 0.5000 0.2500 [4 per cell]  4 S 3.02
Sc 0.0000 0.0000 0.0000 [4 per cell]  4 S 2.53, 2 Se 2.58
Se 0.0000 0.0000 0.2500 [4 per cell]  2 Sc 2.58
S 0.1643 0.3357 0.0000 [8 per cell]  2 Sc 2.53

=====

Entry 22:
Density functional theory data (PBE-GGA) for a relaxed Tb2PmSmEr crystal.

The density of states at the Fermi level comes out at 8.9 states/eV/f.u. Its total energy is -4.26 eV/atom.

Unit cell a=8.4121 b=11.5302 c=7.1628 alpha=90.00 beta=90.00 gamma=90.00
Closest atoms and distances in Å follow each position.
Space group Cmcm (No. 63)
Unique sites:
Tb 0.1874 0.0000 0.0000 [8 per cell]  1 Tb 3.15, 2 Pm 3.18, 2 Er 3.52
Pm 0.0000 0.4959 0.2500 [4 per cell]  1 Sm 3.10, 4 Tb 3.18, 1 Er 3.22
Sm 0.0000 0.2274 0.2500 [4 per cell]  1 Pm 3.10
Er 0.0000 0.2246 0.7500 [4 per cell]  1 Pm 3.22, 4 Tb 3.52, 2 Sm 3.58

=====

Entry 23:
Density functional theory data (PBE-GGA) for a relaxed Ba2SbP crystal.

The density of states at the Fermi level comes out at 0.3 states/eV/f.u. Its total energy is -4.23 eV/atom.

Unit cell a=12.1435 b=4.7864 c=5.0930 alpha=90.00 beta=99.14 gamma=90.00
Closest atoms and distances in Å follow each position.
Space group Cm (No. 8)
Unique sites:
Ba 0.0000 0.0000 0.0000 [2 per cell]  2 P 3.32, 3 Sb 3.50-3.56, 1 Ba 3.67
Ba 0.2365 0.5000 0.5336 [2 per cell]  1 P 3.17, 2 Sb 3.45
Sb 0.2916 0.0000 0.0830 [2 per cell]  1 P 2.60
P 0.4717 0.0000 0.4348 [2 per cell]  1 Sb 2.60